DFT (GGA-PBE) results for MoPd8Pt6 after structural relaxation.

Calculated values
Calculated total energy   -5.772 eV/atom
M_tot   0.000 μB/cell
Space group   R-3 (148)

Structure (CIF):
```
data_MoPd8Pt6
_chemical_formula_sum 'Mo1 Pd8 Pt6'
_cell_length_a 6.861
_cell_length_b 6.861
_cell_length_c 6.861
_cell_angle_alpha 65.52
_cell_angle_beta 65.52
_cell_angle_gamma 65.52
_symmetry_space_group_name_H-M 'P 1'
_symmetry_Int_Tables_number 1
_symmetry_space_group_name_Hall 'P 1'
loop_
_atom_site_label
_atom_site_type_symbol
_atom_site_fract_x
_atom_site_fract_y
_atom_site_fract_z
Mo1 Mo 0.000 0.000 0.000
Pd1 Pd 0.140 0.405 0.839
Pd2 Pd 0.161 0.860 0.595
Pd3 Pd 0.250 0.250 0.250
Pd4 Pd 0.405 0.839 0.140
Pd5 Pd 0.595 0.161 0.860
Pd6 Pd 0.750 0.750 0.750
Pd7 Pd 0.839 0.140 0.405
Pd8 Pd 0.860 0.595 0.161
Pt1 Pt 0.062 0.680 0.372
Pt2 Pt 0.320 0.628 0.938
Pt3 Pt 0.372 0.062 0.680
Pt4 Pt 0.628 0.938 0.320
Pt5 Pt 0.680 0.372 0.062
Pt6 Pt 0.938 0.320 0.628
```